(1)
DFT (PBE-GGA) results for a relaxed NiAs2Au crystal.

The structure in CIF format:
```
data_NiAs2Au
_cell_length_a 6.433
_cell_length_b 6.433
_cell_length_c 6.433
_cell_angle_alpha 90.00
_cell_angle_beta 90.00
_cell_angle_gamma 90.00
_symmetry_space_group_name_H-M 'F m -3 m'
_symmetry_Int_Tables_number 225
_symmetry_space_group_name_Hall '-F 4 2 3'
loop_
_atom_site_label
_atom_site_fract_x
_atom_site_fract_y
_atom_site_fract_z
_atom_site_occupancy
Ni1 0.000 0.000 0.000 1
As1 0.250 0.250 0.250 1
Au1 0.000 0.000 0.500 1
```

Computed properties:
offset from the most stable computed form = 205.3 meV/atom
E_form = 0.23 eV/atom

(2)
DFT (PBE-GGA) results for a relaxed NiAsAu crystal.

The structure in CIF format:
```
data_NiAsAu
_cell_length_a 3.0345
_cell_length_b 3.0345
_cell_length_c 6.1756
_cell_angle_alpha 90.00
_cell_angle_beta 90.00
_cell_angle_gamma 120.00
_symmetry_space_group_name_H-M 'P 3 m 1'
_symmetry_Int_Tables_number 156
loop_
_symmetry_equiv_pos_as_xyz
'x,y,z'
'-y,x-y,z'
'-x+y,-x,z'
'-y,-x,z'
'-x+y,y,z'
'x,x-y,z'
loop_
_atom_site_label
_atom_site_fract_x
_atom_site_fract_y
_atom_site_fract_z
_atom_site_occupancy
Ni1 0.0000 0.0000 0.0000 1
As1 0.3333 0.6667 0.2499 1
Au1 0.6667 0.3333 0.6705 1
```

Computed properties:
offset from the most stable computed form = 99.2 meV/atom
E_form = 0.02 eV/atom

(3)
DFT (PBE-GGA) results for a relaxed NiAs2Au2 crystal.

The structure in CIF format:
```
data_NiAs2Au2
_cell_length_a 5.966
_cell_length_b 5.966
_cell_length_c 5.216
_cell_angle_alpha 90.00
_cell_angle_beta 90.00
_cell_angle_gamma 90.00
_symmetry_space_group_name_H-M 'P 4/m b m'
_symmetry_Int_Tables_number 127
_symmetry_space_group_name_Hall '-P 4 2ab'
loop_
_atom_site_label
_atom_site_fract_x
_atom_site_fract_y
_atom_site_fract_z
_atom_site_occupancy
Ni1 0.000 0.000 0.000 1
As1 0.147 0.353 0.000 1
Au1 0.174 0.326 0.500 1
```

Computed properties:
E_form = 0.01 eV/atom

- Look up the E_form of the first one.
  0.23 eV/atom

- Which of these has the highest E_form?
  NiAs2Au